Record 1
VASP calculation (GGA-PBE) on crystalline Y4Te2RhS at its relaxed geometry.

## Properties
Volume, Å³/f.u.: 210.8
VASP energy, eV/atom: -6.802

Cell lengths 7.3004, 4.0940, 7.4346 Å; angles 90.00, 108.46, 90.00 degrees
Element x y z (fractional)
Y 0.2279 0.0000 0.2066
Y 0.2593 0.5000 0.7883
Y 0.7407 0.5000 0.2117
Y 0.7721 0.0000 0.7934
Te 0.0000 0.0000 0.5000
Te 0.5000 0.5000 0.5000
Rh 0.0000 0.5000 0.0000
S 0.5000 0.0000 0.0000


Record 2
VASP calculation (GGA-PBE) on crystalline SrV3Cl at its relaxed geometry.

## Properties
Volume, Å³/f.u.: 95.1
VASP energy, eV/atom: -5.413
Relative energy among the computed polymorphs, meV/atom: 0

Cell lengths 4.5643, 4.5643, 4.5643 Å; angles 90.00, 90.00, 90.00 degrees
Element x y z (fractional)
Sr 0.0000 0.0000 0.0000
V 0.0000 0.5000 0.5000
V 0.5000 0.0000 0.5000
V 0.5000 0.5000 0.0000
Cl 0.5000 0.5000 0.5000


Record 3
VASP calculation (GGA-PBE) on crystalline Tb2UZnRh6 at its relaxed geometry.

## Properties
Calculated formation energy, eV/f.u.: -4.52
Volume, Å³/f.u.: 206.0
VASP energy, eV/atom: -7.045

Cell lengths 5.5794, 5.5795, 8.2858 Å; angles 70.42, 70.42, 60.00 degrees
Element x y z (fractional)
Tb 0.2027 0.2031 0.3915
Tb 0.7973 0.7969 0.6085
U 0.0000 0.0000 0.0000
Zn 0.5000 0.5000 0.5000
Rh 0.2505 0.2500 0.7547
Rh 0.2509 0.7417 0.7568
Rh 0.2566 0.7502 0.2441
Rh 0.7434 0.2498 0.7559
Rh 0.7491 0.2583 0.2432
Rh 0.7495 0.7500 0.2453


- Among the records above, which one has the lowest volume?
  SrV3Cl